1.
## Rb2ZnCrF6 (GGA+U)

Data for a geometry-optimized Rb2ZnCrF6 structure.

Results
Crystal system ... tetragonal
E ... -4.8123 eV/atom

```
data_Rb2ZnCrF6
_space_group_name_H-M_alt 'I 4/m m m'
_space_group_IT_number 139
_space_group_name_Hall '-I 4 2'
_cell_length_a 5.9179
_cell_length_b 5.9179
_cell_length_c 8.8540
_cell_angle_alpha 90.00
_cell_angle_beta 90.00
_cell_angle_gamma 90.00
loop_
_atom_site_label
_atom_site_fract_x
_atom_site_fract_y
_atom_site_fract_z
Rb1 0.0000 0.5000 0.2500
Zn1 0.0000 0.0000 0.0000
Cr1 0.0000 0.0000 0.5000
F1 0.0000 0.0000 0.2251
F2 0.2442 0.2442 0.5000
```

2.
## RbZn2CrF8 (GGA+U)

Data for a geometry-optimized RbZn2CrF8 structure.

Results
Crystal system ... trigonal
E ... -4.6621 eV/atom

```
data_RbZn2CrF8
_space_group_name_H-M_alt 'R -3'
_space_group_IT_number 148
_space_group_name_Hall '-R 3'
_cell_length_a 5.2681
_cell_length_b 5.2681
_cell_length_c 24.2153
_cell_angle_alpha 90.00
_cell_angle_beta 90.00
_cell_angle_gamma 120.00
loop_
_atom_site_label
_atom_site_fract_x
_atom_site_fract_y
_atom_site_fract_z
Rb1 0.0000 0.0000 0.0000
Zn1 0.0000 0.0000 0.2396
Cr1 0.0000 0.0000 0.5000
F1 0.0000 0.0000 0.3165
F2 0.0022 0.6988 0.5464
```

3.
## RbZnCrF6 (GGA+U)

Data for a geometry-optimized RbZnCrF6 structure.

Results
Crystal system ... orthorhombic
E ... -4.9975 eV/atom

```
data_RbZnCrF6
_space_group_name_H-M_alt 'I m m a'
_space_group_IT_number 74
_space_group_name_Hall '-I 2b 2'
_cell_length_a 7.3147
_cell_length_b 7.4306
_cell_length_c 10.5588
_cell_angle_alpha 90.00
_cell_angle_beta 90.00
_cell_angle_gamma 90.00
loop_
_atom_site_label
_atom_site_fract_x
_atom_site_fract_y
_atom_site_fract_z
Rb1 0.0000 0.2500 0.1113
Zn1 0.2500 0.2500 0.7500
Cr1 0.0000 0.0000 0.5000
F1 0.0000 0.2500 0.4400
F2 0.0000 0.2500 0.8267
F3 0.1916 0.0438 0.6227
```

4.
## Cr2ReF (GGA+U)

Data for a geometry-optimized Cr2ReF structure.

Results
Crystal system ... cubic
E ... -6.8479 eV/atom

```
data_Cr2ReF
_space_group_name_H-M_alt 'F m -3 m'
_space_group_IT_number 225
_space_group_name_Hall '-F 4 2 3'
_cell_length_a 6.2576
_cell_length_b 6.2576
_cell_length_c 6.2576
_cell_angle_alpha 90.00
_cell_angle_beta 90.00
_cell_angle_gamma 90.00
loop_
_atom_site_label
_atom_site_fract_x
_atom_site_fract_y
_atom_site_fract_z
Cr1 0.2500 0.2500 0.2500
Re1 0.0000 0.0000 0.0000
F1 0.0000 0.0000 0.5000
```

5.
## Cr2Re2F (GGA+U)

Data for a geometry-optimized Cr2Re2F structure.

Results
Crystal system ... tetragonal
E ... -7.1748 eV/atom

```
data_Cr2Re2F
_space_group_name_H-M_alt 'P 4/m b m'
_space_group_IT_number 127
_space_group_name_Hall '-P 4 2ab'
_cell_length_a 7.1005
_cell_length_b 7.1005
_cell_length_c 2.8792
_cell_angle_alpha 90.00
_cell_angle_beta 90.00
_cell_angle_gamma 90.00
loop_
_atom_site_label
_atom_site_fract_x
_atom_site_fract_y
_atom_site_fract_z
Cr1 0.1426 0.3574 0.0000
Re1 0.1442 0.6442 0.5000
F1 0.0000 0.0000 0.5000
```

6.
## Cr2Re2F (GGA+U)

Data for a geometry-optimized Cr2Re2F structure.

Results
Crystal system ... tetragonal
E ... -7.0375 eV/atom

```
data_Cr2Re2F
_space_group_name_H-M_alt 'I 4/m m m'
_space_group_IT_number 139
_space_group_name_Hall '-I 4 2'
_cell_length_a 3.9021
_cell_length_b 3.9021
_cell_length_c 11.6823
_cell_angle_alpha 90.00
_cell_angle_beta 90.00
_cell_angle_gamma 90.00
loop_
_atom_site_label
_atom_site_fract_x
_atom_site_fract_y
_atom_site_fract_z
Cr1 0.0000 0.5000 0.2500
Re1 0.0000 0.0000 0.1199
F1 0.0000 0.0000 0.5000
```

7.
## CrReF3 (GGA+U)

Data for a geometry-optimized CrReF3 structure.

Results
Crystal system ... cubic
E ... -5.7118 eV/atom

```
data_CrReF3
_space_group_name_H-M_alt 'P m -3 m'
_space_group_IT_number 221
_space_group_name_Hall '-P 4 2 3'
_cell_length_a 4.2234
_cell_length_b 4.2234
_cell_length_c 4.2234
_cell_angle_alpha 90.00
_cell_angle_beta 90.00
_cell_angle_gamma 90.00
loop_
_atom_site_label
_atom_site_fract_x
_atom_site_fract_y
_atom_site_fract_z
Cr1 0.0000 0.0000 0.0000
Re1 0.5000 0.5000 0.5000
F1 0.0000 0.5000 0.5000
```

8.
## Cr2ReF (GGA+U)

Data for a geometry-optimized Cr2ReF structure.

Results
Crystal system ... tetragonal
E ... -7.0217 eV/atom

```
data_Cr2ReF
_space_group_name_H-M_alt 'I -4 2 d'
_space_group_IT_number 122
_space_group_name_Hall 'I -4 2bw'
_cell_length_a 6.3816
_cell_length_b 6.3816
_cell_length_c 6.2245
_cell_angle_alpha 90.00
_cell_angle_beta 90.00
_cell_angle_gamma 90.00
loop_
_atom_site_label
_atom_site_fract_x
_atom_site_fract_y
_atom_site_fract_z
Cr1 0.2032 0.7500 0.1250
Re1 0.0000 0.0000 0.5000
F1 0.0000 0.0000 0.0000
```